First-principles (PBE with a Hubbard U) data for an optimized crystal structure of LiMnF3, as listed in the Alexandria database.

Geometry as CIF:
```
data_LiMnF3
_symmetry_space_group_name_H-M 'P 63 2 2'
_symmetry_Int_Tables_number 182
_symmetry_space_group_name_Hall 'P 6c 2c'
_cell_length_a 5.4453
_cell_length_b 5.4453
_cell_length_c 10.5939
_cell_angle_alpha 90.00
_cell_angle_beta 90.00
_cell_angle_gamma 120.00
loop_
_atom_site_label
_atom_site_type_symbol
_atom_site_fract_x
_atom_site_fract_y
_atom_site_fract_z
_atom_site_occupancy
Li1 Li 0.3333 0.6667 0.0914 1
Mn1 Mn 0.0000 0.0000 0.2500 1
Mn2 Mn 0.3333 0.6667 0.7500 1
F1 F 0.0034 0.3365 0.6413 1
```

Calculated values
The total energy is -114.3 eV for the cell shown.